# 1
Zr4Re3 meta-GGA SCAN single point on PBEsol structure; DOS(E_F) = 6.33 states/eV/cell; energy of formation from the pure elements = -0.355 eV/atom; symmetry = P6/mmm (191); spin magnetization = 0.0 μB per formula unit
1.0
5.1964 0.0000 0.0000
-2.5982 4.5003 0.0000
0.0000 0.0000 5.5706
Zr Re
4 3
direct
0.0000 0.0000 0.2472 Zr
0.0000 0.0000 0.7528 Zr
0.3333 0.6667 0.0000 Zr
0.6667 0.3333 0.0000 Zr
0.0000 0.5000 0.5000 Re
0.5000 0.0000 0.5000 Re
0.5000 0.5000 0.5000 Re

=====

# 2
Re2Ni2Br meta-GGA SCAN single point on PBEsol structure; DOS(E_F) = 8.80 states/eV/cell; symmetry = I4/mmm (139); spin magnetization = 1.6 μB per formula unit; energy relative to the elements, uncorrected = 1.09 eV per atom
1.0
3.3917 0.0000 0.0000
0.0000 3.3917 0.0000
0.0000 0.0000 12.4863
Re Ni Br
4 4 2
direct
0.0000 0.0000 0.1062 Re
0.0000 0.0000 0.8938 Re
0.5000 0.5000 0.3938 Re
0.5000 0.5000 0.6062 Re
0.0000 0.5000 0.2500 Ni
0.0000 0.5000 0.7500 Ni
0.5000 0.0000 0.2500 Ni
0.5000 0.0000 0.7500 Ni
0.0000 0.0000 0.5000 Br
0.5000 0.5000 0.0000 Br

=====

# 3
HfSiRh meta-GGA SCAN single point on PBEsol structure; DOS(E_F) = 7.85 states/eV/cell; symmetry = Pnma (62); spin magnetization = 0.0 μB per formula unit; energy relative to the elements, uncorrected = -1.16 eV per atom
1.0
6.4447 0.0000 0.0000
0.0000 3.8808 0.0000
0.0000 0.0000 7.3604
Hf Si Rh
4 4 4
direct
0.0199 0.2500 0.1849 Hf
0.4801 0.7500 0.6849 Hf
0.5199 0.2500 0.3151 Hf
0.9801 0.7500 0.8151 Hf
0.2268 0.7500 0.3827 Si
0.2732 0.2500 0.8827 Si
0.7268 0.7500 0.1173 Si
0.7732 0.2500 0.6173 Si
0.1490 0.2500 0.5658 Rh
0.3510 0.7500 0.0658 Rh
0.6490 0.2500 0.9342 Rh
0.8510 0.7500 0.4342 Rh

=====

# 4
Mn2MoP meta-GGA SCAN single point on PBEsol structure; DOS(E_F) = 5.99 states/eV/cell; energy of formation from the pure elements = -0.052 eV/atom; symmetry = Imm2 (44); spin magnetization = 0.0 μB per formula unit
1.0
2.9031 0.0000 0.0000
0.0000 3.9564 0.0000
0.0000 0.0000 8.0655
Mn Mo P
4 2 2
direct
0.0000 0.0000 0.0000 Mn
0.0000 0.5000 0.2333 Mn
0.5000 0.0000 0.7333 Mn
0.5000 0.5000 0.5000 Mn
0.0000 0.0000 0.4692 Mo
0.5000 0.5000 0.9692 Mo
0.0000 0.5000 0.7186 P
0.5000 0.0000 0.2186 P

=====

# 5
BaZnSb meta-GGA SCAN single point on PBEsol structure; DOS(E_F) = 1.85 states/eV/cell; symmetry = P3m1 (156); relative energy among the computed polymorphs = 0.00 eV/f.u.; spin magnetization = 0.0 μB per formula unit; energy relative to the elements, uncorrected = -0.72 eV per atom
1.0
4.5589 0.0000 0.0000
-2.2795 3.9482 0.0000
0.0000 0.0000 4.9800
Ba Zn Sb
1 1 1
direct
0.0000 0.0000 0.0000 Ba
0.6667 0.3333 0.4491 Zn
0.3333 0.6667 0.5115 Sb

=====

# 6
Al3As meta-GGA SCAN single point on PBEsol structure; DOS(E_F) = 8.03 states/eV/cell; energy of formation from the pure elements = 0.153 eV/atom; symmetry = Fm-3m (225); relative energy among the computed polymorphs = 0.30 eV/f.u.; spin magnetization = 0.0 μB per formula unit
1.0
6.5245 0.0000 0.0000
0.0000 6.5245 0.0000
0.0000 0.0000 6.5245
Al As
12 4
direct
0.0000 0.0000 0.0000 Al
0.0000 0.5000 0.5000 Al
0.2500 0.2500 0.2500 Al
0.2500 0.2500 0.7500 Al
0.2500 0.7500 0.2500 Al
0.2500 0.7500 0.7500 Al
0.5000 0.0000 0.5000 Al
0.5000 0.5000 0.0000 Al
0.7500 0.2500 0.2500 Al
0.7500 0.2500 0.7500 Al
0.7500 0.7500 0.2500 Al
0.7500 0.7500 0.7500 Al
0.0000 0.0000 0.5000 As
0.0000 0.5000 0.0000 As
0.5000 0.0000 0.0000 As
0.5000 0.5000 0.5000 As

=====

# 7
La4Mg3Ag10 meta-GGA SCAN single point on PBEsol structure; DOS(E_F) = 19.30 states/eV/cell; energy of formation from the pure elements = -0.338 eV/atom; symmetry = Cmce (64); spin magnetization = 0.0 μB per formula unit
1.0
7.0660 -5.1045 0.0000
7.0660 5.1045 0.0000
0.0000 0.0000 10.2737
La Mg Ag
8 6 20
direct
0.1969 0.8031 0.7982 La
0.2015 0.2015 0.0000 La
0.2985 0.2985 0.5000 La
0.3031 0.6969 0.2982 La
0.6969 0.3031 0.7018 La
0.7015 0.7015 0.5000 La
0.7985 0.7985 0.0000 La
0.8031 0.1969 0.2018 La
0.0000 0.0000 0.5000 Mg
0.0156 0.4844 0.2500 Mg
0.4844 0.0156 0.7500 Mg
0.5000 0.5000 0.0000 Mg
0.5156 0.9844 0.2500 Mg
0.9844 0.5156 0.7500 Mg
0.0664 0.6607 0.5256 Ag
0.0974 0.9026 0.0963 Ag
0.1069 0.1703 0.7037 Ag
0.1607 0.5664 0.0256 Ag
0.1703 0.1069 0.2963 Ag
0.3297 0.3931 0.7963 Ag
0.3393 0.9336 0.5256 Ag
0.3931 0.3297 0.2037 Ag
0.4026 0.5974 0.5963 Ag
0.4336 0.8393 0.0256 Ag
0.5664 0.1607 0.9744 Ag
0.5974 0.4026 0.4037 Ag
0.6069 0.6703 0.7963 Ag
0.6607 0.0664 0.4744 Ag
0.6703 0.6069 0.2037 Ag
0.8297 0.8931 0.7037 Ag
0.8393 0.4336 0.9744 Ag
0.8931 0.8297 0.2963 Ag
0.9026 0.0974 0.9037 Ag
0.9336 0.3393 0.4744 Ag

=====

# 8
LiCa2P meta-GGA SCAN single point on PBEsol structure; DOS(E_F) = 13.09 states/eV/cell; energy of formation from the pure elements = -0.077 eV/atom; symmetry = F-43m (216); spin magnetization = 0.0 μB per formula unit
1.0
7.1312 0.0000 0.0000
0.0000 7.1312 0.0000
0.0000 0.0000 7.1312
Li Ca P
4 8 4
direct
0.0000 0.0000 0.0000 Li
0.0000 0.5000 0.5000 Li
0.5000 0.0000 0.5000 Li
0.5000 0.5000 0.0000 Li
0.0000 0.0000 0.5000 Ca
0.0000 0.5000 0.0000 Ca
0.2500 0.2500 0.7500 Ca
0.2500 0.7500 0.2500 Ca
0.5000 0.0000 0.0000 Ca
0.5000 0.5000 0.5000 Ca
0.7500 0.2500 0.2500 Ca
0.7500 0.7500 0.7500 Ca
0.2500 0.2500 0.2500 P
0.2500 0.7500 0.7500 P
0.7500 0.2500 0.7500 P
0.7500 0.7500 0.2500 P

=====

# 9
CaAgP meta-GGA SCAN single point on PBEsol structure; DOS(E_F) = 0.55 states/eV/cell; energy of formation from the pure elements = -0.778 eV/atom; symmetry = P-6m2 (187); spin magnetization = 0.0 μB per formula unit
1.0
4.2133 0.0000 0.0000
-2.1067 3.6489 0.0000
0.0000 0.0000 4.0175
Ca Ag P
1 1 1
direct
0.0000 0.0000 0.0000 Ca
0.3333 0.6667 0.5000 Ag
0.6667 0.3333 0.5000 P

=====

# 10
Ba3OsS meta-GGA SCAN single point on PBEsol structure; DOS(E_F) = 2.57 states/eV/cell; symmetry = Pm-3m (221); spin magnetization = 0.0 μB per formula unit; energy relative to the elements, uncorrected = -0.15 eV per atom
1.0
5.7491 0.0000 0.0000
0.0000 5.7491 0.0000
0.0000 0.0000 5.7491
Ba Os S
3 1 1
direct
0.0000 0.0000 0.5000 Ba
0.0000 0.5000 0.0000 Ba
0.5000 0.0000 0.0000 Ba
0.0000 0.0000 0.0000 Os
0.5000 0.5000 0.5000 S

=====

# 11
TcWSeBr2 meta-GGA SCAN single point on PBEsol structure; DOS(E_F) = 4.93 states/eV/cell; symmetry = P4/mmm (123); spin magnetization = 3.4 μB per formula unit; energy relative to the elements, uncorrected = 1.38 eV per atom
1.0
4.9911 0.0000 0.0000
0.0000 4.9911 0.0000
0.0000 0.0000 4.7163
Tc W Se Br
1 1 1 2
direct
0.0000 0.0000 0.0000 Tc
0.5000 0.5000 0.5000 W
0.0000 0.0000 0.5000 Se
0.0000 0.5000 0.0000 Br
0.5000 0.0000 0.0000 Br